No. 1
The following is a DFT calculation (GGA-PBE) of a relaxed AsRh2Se crystal.

The structure in POSCAR format:
```
AsRh2Se
1.0
1.554 0.897 7.614
-1.554 0.897 7.614
0.000 -1.794 7.614
As Rh Se
1 2 1
Cartesian
0.000 0.000 0.000 As
0.000 0.000 5.800 Rh
0.000 0.000 17.042 Rh
0.000 0.000 11.421 Se
```

Values from the calculation:
- relative energy among the computed polymorphs (meV per atom) = 249
- spin magnetization (μB/f.u.) = 0.000
- SG = No. 166
- E_form (uncorrected) (eV/atom) = -0.12


No. 2
The following is a DFT calculation (GGA-PBE) of a relaxed CaTb4Sm6 crystal.

The structure in POSCAR format:
```
CaTb4Sm6
1.0
9.398 0.000 0.000
-4.699 8.139 0.000
0.000 0.000 5.257
Ca Tb Sm
1 4 6
Cartesian
0.000 0.000 0.000 Ca
0.000 5.426 0.000 Tb
2.908 1.679 2.629 Tb
6.490 1.679 2.629 Tb
4.699 4.781 2.629 Tb
0.000 3.350 2.629 Sm
-1.798 6.464 2.629 Sm
4.699 0.548 0.000 Sm
2.824 3.796 0.000 Sm
1.798 6.464 2.629 Sm
6.574 3.796 0.000 Sm
```

Values from the calculation:
- spin magnetization (μB/f.u.) = 0.001
- SG = No. 187
- DFT formation energy (meV/atom) = 338.3


No. 3
The following is a DFT calculation (GGA-PBE) of a relaxed ZrPaIn crystal.

The structure in POSCAR format:
```
ZrPaIn
1.0
-1.575 1.575 7.260
1.575 -1.575 7.260
1.575 1.575 -7.260
Zr Pa In
1 1 1
Cartesian
0.000 0.000 0.000 Zr
0.000 0.000 4.847 Pa
0.000 0.000 9.570 In
```

Values from the calculation:
- relative energy among the computed polymorphs (meV per atom) = 0
- spin magnetization (μB/f.u.) = 0.000
- SG = No. 107
- DFT formation energy (meV/atom) = -110.1


No. 4
The following is a DFT calculation (GGA-PBE) of a relaxed Li6TlGa crystal.

The structure in POSCAR format:
```
Li6TlGa
1.0
4.688 0.000 0.000
0.000 3.210 4.656
0.000 -3.210 4.656
Li Tl Ga
6 1 1
Cartesian
0.000 0.000 0.000 Li
0.000 -1.565 2.453 Li
0.000 1.565 2.453 Li
2.344 -1.579 4.967 Li
2.344 0.000 2.801 Li
2.344 1.579 4.967 Li
2.344 0.000 7.277 Tl
0.000 0.000 4.809 Ga
```

Values from the calculation:
- spin magnetization (μB/f.u.) = 0.000
- SG = No. 38
- DFT formation energy (meV/atom) = -187.1


No. 5
The following is a DFT calculation (GGA-PBE) of a relaxed Ho4Cd2O crystal.

The structure in POSCAR format:
```
Ho4Cd2O
1.0
-2.362 2.362 7.623
2.362 -2.362 7.623
2.362 2.362 -7.623
Ho Cd O
4 2 1
Cartesian
2.362 0.000 0.000 Ho
0.000 0.000 2.643 Ho
0.000 2.362 0.000 Ho
0.000 0.000 12.602 Ho
0.000 0.000 5.617 Cd
0.000 0.000 9.629 Cd
0.000 0.000 0.000 O
```

Values from the calculation:
- spin magnetization (μB/f.u.) = 0.000
- SG = No. 139
- E_form (uncorrected) (eV/atom) = -0.93


No. 6
The following is a DFT calculation (GGA-PBE) of a relaxed Ce5Sn3Pb crystal.

The structure in POSCAR format:
```
Ce5Sn3Pb
1.0
9.602 0.000 0.000
-4.801 8.315 0.000
0.000 0.000 6.556
Ce Sn Pb
10 6 2
Cartesian
-1.372 2.377 1.639 Ce
-3.429 5.939 4.917 Ce
2.745 0.000 1.639 Ce
1.372 2.377 4.917 Ce
0.000 5.544 0.000 Ce
0.000 5.544 3.278 Ce
4.801 2.772 0.000 Ce
4.801 2.772 3.278 Ce
6.857 0.000 4.917 Ce
3.429 5.939 1.639 Ce
-1.798 3.114 4.917 Sn
-3.003 5.201 1.639 Sn
3.596 0.000 4.917 Sn
1.798 3.114 1.639 Sn
6.006 0.000 1.639 Sn
3.003 5.201 4.917 Sn
0.000 0.000 0.000 Pb
0.000 0.000 3.278 Pb
```

Values from the calculation:
- spin magnetization (μB/f.u.) = 5.401
- SG = No. 193
- DFT formation energy (meV/atom) = -559.0


No. 7
The following is a DFT calculation (GGA-PBE) of a relaxed Sc4CuNi2Rh crystal.

The structure in POSCAR format:
```
Sc4CuNi2Rh
1.0
2.269 1.310 7.433
-2.269 1.310 7.433
0.000 -2.620 7.433
Sc Cu Ni Rh
4 1 2 1
Cartesian
0.000 0.000 2.771 Sc
0.000 0.000 8.355 Sc
0.000 0.000 13.945 Sc
0.000 0.000 19.529 Sc
0.000 0.000 11.150 Cu
0.000 0.000 5.595 Ni
0.000 0.000 16.706 Ni
0.000 0.000 0.000 Rh
```

Values from the calculation:
- spin magnetization (μB/f.u.) = 0.000
- SG = No. 166
- DFT formation energy (meV/atom) = -576.2


No. 8
The following is a DFT calculation (GGA-PBE) of a relaxed Mg3MoPt crystal.

The structure in POSCAR format:
```
Mg3MoPt
1.0
5.040 0.000 0.000
0.000 5.040 0.000
0.000 0.000 5.040
Mg Mo Pt
3 1 1
Cartesian
0.000 0.000 2.520 Mg
0.000 2.520 0.000 Mg
2.520 0.000 0.000 Mg
0.000 0.000 0.000 Mo
2.520 2.520 2.520 Pt
```

Values from the calculation:
- relative energy among the computed polymorphs (meV per atom) = 875
- spin magnetization (μB/f.u.) = 2.605
- SG = No. 221
- DFT formation energy (meV/atom) = 1355.8


Question: spin magnetization of number 1 (AsRh2Se)?
Answer: 0.000 μB/f.u.


Copy entry 7 word for word.
The following is a DFT calculation (GGA-PBE) of a relaxed Sc4CuNi2Rh crystal.

The structure in POSCAR format:
```
Sc4CuNi2Rh
1.0
2.269 1.310 7.433
-2.269 1.310 7.433
0.000 -2.620 7.433
Sc Cu Ni Rh
4 1 2 1
Cartesian
0.000 0.000 2.771 Sc
0.000 0.000 8.355 Sc
0.000 0.000 13.945 Sc
0.000 0.000 19.529 Sc
0.000 0.000 11.150 Cu
0.000 0.000 5.595 Ni
0.000 0.000 16.706 Ni
0.000 0.000 0.000 Rh
```

Values from the calculation:
- spin magnetization (μB/f.u.) = 0.000
- SG = No. 166
- DFT formation energy (meV/atom) = -576.2


Question: What is the spin magnetization in the third record?
Answer: 0.000 μB/f.u.